DFT (GGA+U) results for a relaxed Co2Se2O7 crystal.

```
Co2Se2O7
1.0
5.863 0.000 0.000
0.477 5.952 0.000
2.519 2.145 9.068
Co Se O
4 4 14
direct
0.098 0.245 0.014
0.227 0.080 0.539
0.773 0.920 0.461
0.902 0.755 0.986
0.027 0.481 0.303
0.491 0.955 0.813
0.509 0.045 0.187
0.973 0.519 0.697
0.015 0.808 0.595
0.076 0.528 0.853
0.197 0.972 0.906
0.204 0.371 0.607
0.375 0.279 0.104
0.380 0.807 0.197
0.486 0.919 0.643
0.514 0.081 0.357
0.620 0.193 0.803
0.625 0.721 0.896
0.796 0.629 0.393
0.803 0.028 0.094
0.924 0.472 0.147
0.985 0.192 0.405
```

Summary:
Volume: 14.38 A^3/atom
SG: P-1, No. 2
Crystal system: triclinic
Mass density: 4.07 g/cm3
E: -60.9 eV/f.u.